[1]
# PBE Sr2CaMgAs, optimized geometry
data_Sr2CaMgAs
_cell_length_a 6.0319
_cell_length_b 6.0319
_cell_length_c 5.6556
_cell_angle_alpha 90.00
_cell_angle_beta 90.00
_cell_angle_gamma 90.00
_space_group_name_H-M_alt 'P 4/m m m'
_space_group_IT_number 123
_space_group_name_Hall '-P 4 2'
loop_
_atom_site_label
_atom_site_type_symbol
_atom_site_fract_x
_atom_site_fract_y
_atom_site_fract_z
_atom_site_occupancy
Sr1 Sr 0.0000 0.5000 0.0000 1
Ca1 Ca 0.0000 0.0000 0.5000 1
Mg1 Mg 0.5000 0.5000 0.5000 1
As1 As 0.0000 0.0000 0.0000 1
# formation energy from the elements: -0.454 eV/atom

=====

[2]
# PBE K2BaSn2, optimized geometry
data_K2BaSn2
_cell_length_a 12.3427
_cell_length_b 4.8520
_cell_length_c 7.3761
_cell_angle_alpha 90.00
_cell_angle_beta 92.34
_cell_angle_gamma 90.00
_space_group_name_H-M_alt 'C 1 2/m 1'
_space_group_IT_number 12
loop_
_space_group_symop_operation_xyz
'x,y,z'
'-x,-y,-z'
'-x,y,-z'
'x,-y,z'
'x+1/2,y+1/2,z'
'-x+1/2,-y+1/2,-z'
'-x+1/2,y+1/2,-z'
'x+1/2,-y+1/2,z'
loop_
_atom_site_label
_atom_site_type_symbol
_atom_site_fract_x
_atom_site_fract_y
_atom_site_fract_z
_atom_site_occupancy
K1 K 0.1477 0.0000 0.1055 1
Ba1 Ba 0.0000 0.5000 0.5000 1
Sn1 Sn 0.2131 0.0000 0.6088 1
# E above lowest polymorph: 0 meV per atom
# formation energy from the elements: -0.316 eV/atom

=====

Number 1: total DFT energy (no corrections) -13.9 eV for the cell shown. Number 2: total DFT energy (no corrections) -27.4 eV for the cell shown.